Entry 1:
{"formula": "DyEr2Tm5", "functional": "GGA-PBE", "state": "relaxed", "relative_energy_kj_per_mol_atoms": 0.00, "e_tot_ev_per_fu": -35.9, "total_magnetization_mub_per_cell": 0.0, "lattice": [[-3.491, 3.491, 4.935], [3.491, -3.491, 4.935], [3.491, 3.491, -4.935]], "species": ["Dy", "Er", "Er", "Tm", "Tm", "Tm", "Tm", "Tm"], "frac_coords": [[0.000, 0.000, 0.000], [0.000, 0.500, 0.500], [0.500, 0.000, 0.500], [0.000, 0.000, 0.500], [0.000, 0.500, 0.000], [0.500, 0.000, 0.000], [0.500, 0.500, 0.000], [0.500, 0.500, 0.500]]}

Entry 2:
{"formula": "Zr4OsBr", "functional": "GGA-PBE", "state": "relaxed", "e_form_raw_ev_per_atom": 0.720, "e_tot_ev_per_fu": -42.8, "total_magnetization_mub_per_cell": 0.0, "lattice": [[0.000, 3.996, 3.996], [3.996, 0.000, 3.996], [3.996, 3.996, 0.000]], "species": ["Zr", "Zr", "Zr", "Zr", "Os", "Br"], "frac_coords": [[0.377, 0.377, 0.377], [0.377, 0.377, 0.869], [0.377, 0.869, 0.377], [0.869, 0.377, 0.377], [0.750, 0.750, 0.750], [0.000, 0.000, 0.000]]}

Entry 3:
{"formula": "La3Dy2UN6", "functional": "GGA-PBE", "state": "relaxed", "e_form_raw_ev_per_atom": -1.508, "e_tot_ev_per_fu": -103.3, "total_magnetization_mub_per_cell": 0.0, "lattice": [[3.072, -5.310, 0.000], [3.072, 5.310, 0.000], [-2.043, 0.000, 5.971]], "species": ["La", "La", "La", "Dy", "Dy", "U", "N", "N", "N", "N", "N", "N"], "frac_coords": [[0.000, 0.000, 0.000], [0.331, 0.669, 0.000], [0.669, 0.331, 0.000], [0.166, 0.834, 0.500], [0.834, 0.166, 0.500], [0.500, 0.500, 0.500], [0.121, 0.429, 0.287], [0.263, 0.263, 0.717], [0.429, 0.121, 0.287], [0.571, 0.879, 0.713], [0.737, 0.737, 0.283], [0.879, 0.571, 0.713]]}

What did the first record say?
{"formula": "DyEr2Tm5", "functional": "GGA-PBE", "state": "relaxed", "relative_energy_kj_per_mol_atoms": 0.00, "e_tot_ev_per_fu": -35.9, "total_magnetization_mub_per_cell": 0.0, "lattice": [[-3.491, 3.491, 4.935], [3.491, -3.491, 4.935], [3.491, 3.491, -4.935]], "species": ["Dy", "Er", "Er", "Tm", "Tm", "Tm", "Tm", "Tm"], "frac_coords": [[0.000, 0.000, 0.000], [0.000, 0.500, 0.500], [0.500, 0.000, 0.500], [0.000, 0.000, 0.500], [0.000, 0.500, 0.000], [0.500, 0.000, 0.000], [0.500, 0.500, 0.000], [0.500, 0.500, 0.500]]}